# GGA+U Nd2Co2O5, optimized geometry
# * electronic total energy: -62.504 eV/cell
# * crystal system: tetragonal
data_Nd2Co2O5
_cell_length_a 3.887
_cell_length_b 3.887
_cell_length_c 7.196
_cell_angle_alpha 90.00
_cell_angle_beta 90.00
_cell_angle_gamma 90.00
_space_group_name_H-M_alt 'P 4/m m m'
_space_group_IT_number 123
_space_group_name_Hall '-P 4 2'
loop_
_atom_site_label
_atom_site_fract_x
_atom_site_fract_y
_atom_site_fract_z
Nd1 0.000 0.000 0.000
Nd2 0.000 0.000 0.500
Co1 0.500 0.500 0.223
O1 0.000 0.500 0.218
O2 0.500 0.500 0.500